Record 1
ZnGa6Hg, optimized geometry, DFT GGA-PBE; volume = 628 Å³/cell; space-group type = P2/m (10); energy = -77.32 eV per cell; energy relative to the elements = 0.0509 eV/atom
1.0
-2.9229 3.0597 3.4155
-3.9955 -7.2265 2.9300
9.3095 -1.4060 9.2267
Zn Ga Hg
4 24 4
Direct
0.2487 0.4985 0.0000
0.7513 0.5015 0.0000
0.5000 0.0000 0.7969
0.5000 0.0000 0.2031
0.2495 0.5010 0.7418
0.4497 0.2779 0.8798
0.5503 0.7221 0.8798
0.7505 0.4990 0.7418
0.9483 0.2715 0.8834
0.0516 0.7285 0.8834
0.5000 0.0000 0.5000
0.6351 0.7922 0.6538
0.8535 0.2536 0.6149
0.2495 0.5010 0.2582
0.3649 0.2078 0.3462
0.6351 0.7923 0.3462
0.7505 0.4990 0.2582
0.8535 0.2536 0.3851
0.1465 0.7464 0.3851
0.5000 0.0000 0.0000
0.5503 0.7221 0.1202
0.9484 0.2715 0.1166
0.0000 0.0000 0.5000
0.1465 0.7464 0.6149
0.3649 0.2077 0.6538
0.0000 0.0000 0.0000
0.0517 0.7285 0.1166
0.4497 0.2779 0.1202
0.2551 0.4382 0.5000
0.7449 0.5618 0.5000
0.0000 0.0000 0.7540
0.0000 0.0000 0.2460


Record 2
Zn2GaHg, optimized geometry, DFT GGA-PBE; volume = 76 Å³/cell; space-group type = P4/mmm (123); offset from the most stable computed form = 24.6 meV per atom; energy = -5.40 eV per cell; energy relative to the elements = 0.1189 eV/atom
1.0
-2.5931 0.3965 2.0310
-2.0624 -0.2274 -2.5887
-0.3521 -6.7986 0.8778
Zn Hg Ga
2 1 1
Direct
0.0000 0.0000 0.7722
0.0000 0.0000 0.2278
0.5000 0.5000 0.5000
0.5000 0.5000 0.0000


Record 3
Zn2GaHg, optimized geometry, DFT GGA-PBE; volume = 76 Å³/cell; space-group type = Fm-3m (225); offset from the most stable computed form = 28.8 meV per atom; energy = -5.38 eV per cell; energy relative to the elements = 0.1230 eV/atom
1.0
4.7537 0.0000 0.0000
2.3768 4.1168 0.0000
2.3768 1.3723 3.8813
Zn Hg Ga
2 1 1
Direct
0.2500 0.2500 0.2500
0.7500 0.7500 0.7500
0.0000 0.0000 0.0000
0.5000 0.5000 0.5000


Record 4
ZnGaHg, optimized geometry, DFT GGA-PBE; volume = 60 Å³/cell; space-group type = P3m1 (156); offset from the most stable computed form = 15.7 meV per atom; energy = -4.31 eV per cell; energy relative to the elements = 0.0988 eV/atom
1.0
-2.6824 -2.0081 0.4129
2.0139 -0.4031 -2.6795
3.4421 -3.9440 3.1805
Zn Hg Ga
1 1 1
Direct
0.6667 0.3333 0.3441
0.0000 0.0000 0.0070
0.3333 0.6667 0.6488


Record 5
ZrZnGaHg2, optimized geometry, DFT GGA-PBE; volume = 124 Å³/cell; space-group type = P4/mmm (123); energy = -11.20 eV per cell; energy relative to the elements = 0.4511 eV/atom
1.0
-0.6316 -0.5381 -4.7972
-4.4443 -2.6092 0.8778
-2.4846 4.1842 -0.1422
Zn Ga Hg Zr
1 1 2 1
Direct
0.0000 0.0000 0.0000
0.5000 0.5000 0.5000
0.0000 0.0000 0.5000
0.5000 0.0000 0.0000
0.0000 0.5000 0.0000


Record 6
Zr6GaHg5, optimized geometry, DFT GGA-PBE; volume = 254 Å³/cell; space-group type = Immm (71); energy = -58.53 eV per cell; energy relative to the elements = -0.2257 eV/atom
1.0
-2.8491 2.3502 2.5390
-2.4747 1.1412 -7.7891
-1.1314 -7.9026 2.0895
Ga Zr Hg
1 6 5
Direct
0.0000 0.0000 0.0000
0.2449 0.0804 0.4095
0.7551 0.5905 0.9196
0.7401 0.2401 0.2401
0.2599 0.7599 0.7599
0.2449 0.4095 0.0804
0.7551 0.9196 0.5905
0.5000 0.1694 0.8306
0.0000 0.3360 0.6640
0.5000 0.5000 0.5000
0.0000 0.6640 0.3360
0.5000 0.8306 0.1694


Record 7
Zr6Ga5Hg, optimized geometry, DFT GGA-PBE; volume = 233 Å³/cell; space-group type = Immm (71); energy = -72.27 eV per cell; energy relative to the elements = -0.4625 eV/atom
1.0
4.2436 1.1091 0.0000
2.1656 9.0100 0.0000
1.0828 4.5050 6.4987
Zr Ga Hg
6 5 1
Direct
0.7414 0.0901 0.3371
0.2586 0.5728 0.3371
0.2352 0.2651 0.0000
0.7648 0.7349 0.0000
0.7414 0.4272 0.6629
0.2586 0.9099 0.6629
0.5000 0.1630 0.6740
0.0000 0.3280 0.3441
0.5000 0.5000 0.0000
0.0000 0.6720 0.6559
0.5000 0.8370 0.3260
0.0000 0.0000 0.0000


Record 8
Zr6GaHg3, optimized geometry, DFT GGA-PBE; volume = 225 Å³/cell; space-group type = C2/m (12); energy = -54.90 eV per cell; energy relative to the elements = 0.0321 eV/atom
1.0
-6.6340 3.1092 -2.3187
-3.4287 -4.6857 -1.6785
-4.2135 -2.4362 3.5834
Zr Ga Hg
6 1 3
Direct
0.3172 0.1065 0.5952
0.6828 0.4048 0.8935
0.6828 0.8935 0.4048
0.3172 0.5952 0.1065
0.0781 0.6328 0.6328
0.9219 0.3672 0.3672
0.5000 0.5000 0.5000
0.3010 0.1152 0.1152
0.6990 0.8848 0.8848
0.0000 0.0000 0.0000


Record 9
Zr6GaHg2, optimized geometry, DFT GGA-PBE; volume = 222 Å³/cell; space-group type = Immm (71); energy = -53.38 eV per cell; energy relative to the elements = 0.1711 eV/atom
1.0
4.6635 0.0000 -0.1747
0.0000 6.6751 0.0000
-2.0590 -3.3375 7.1928
Zr Ga Hg
6 1 2
Direct
0.1598 0.4026 0.3206
0.8402 0.0820 0.6794
0.8402 0.5974 0.6794
0.5000 0.2417 0.0000
0.1598 0.9180 0.3206
0.5000 0.7583 0.0000
0.0000 0.0000 0.0000
0.6680 0.6687 0.3374
0.3320 0.3313 0.6626


Record 10
Zr2Ga2Hg, optimized geometry, DFT GGA-PBE; volume = 212 Å³/cell; space-group type = P4/mbm (127); offset from the most stable computed form = 237.6 meV per atom; energy = -48.89 eV per cell; energy relative to the elements = -0.1990 eV/atom
1.0
-1.4291 -5.7044 -5.5524
3.3295 -5.5524 4.8474
-2.8969 -0.5726 1.3339
Ga Hg Zr
4 2 4
Direct
0.1702 0.6702 0.5000
0.6702 0.8298 0.5000
0.8298 0.3298 0.5000
0.3298 0.1702 0.5000
0.0000 0.0000 0.0000
0.5000 0.5000 0.0000
0.3678 0.8678 0.0000
0.8678 0.6322 0.0000
0.6322 0.1322 0.0000
0.1322 0.3678 0.0000


Record 11
Zr3GaHg, optimized geometry, DFT GGA-PBE; volume = 126 Å³/cell; space-group type = Pm-3m (221); offset from the most stable computed form = 0.0 meV per atom; energy = -27.27 eV per cell; energy relative to the elements = 0.3408 eV/atom
1.0
5.0104 0.0000 0.0000
0.0000 5.0104 0.0000
0.0000 0.0000 5.0104
Ga Hg Zr
1 1 3
Direct
0.0000 0.0000 0.0000
0.5000 0.5000 0.5000
0.0000 0.5000 0.0000
0.0000 0.0000 0.5000
0.5000 0.0000 0.0000


Record 12
Zr7Ga2Hg2, optimized geometry, DFT GGA-PBE; volume = 259 Å³/cell; space-group type = Cmmm (65); energy = -65.65 eV per cell; energy relative to the elements = 0.0766 eV/atom
1.0
6.2315 -0.0033 -0.6293
0.0027 6.8512 0.0034
-1.0163 -0.0014 6.1803
Zr Ga Hg
7 2 2
Direct
0.0001 0.2688 0.5001
0.5001 0.7312 0.0001
0.9999 0.7312 0.4999
0.4999 0.2688 0.9999
0.0000 0.0000 0.0000
0.5000 0.7417 0.5000
0.5000 0.2583 0.5000
0.7151 0.0001 0.2849
0.2849 0.9999 0.7151
0.8223 0.5000 0.8223
0.1777 0.5000 0.1777


Record 13
Zr2Ga2Hg, optimized geometry, DFT GGA-PBE; volume = 195 Å³/cell; space-group type = P4/mbm (127); offset from the most stable computed form = 0.0 meV per atom; energy = -51.27 eV per cell; energy relative to the elements = -0.4366 eV/atom
1.0
-6.1082 0.6517 -3.3940
2.8128 -3.0668 -5.6512
-1.1321 -3.5404 1.3578
Ga Hg Zr
4 2 4
Direct
0.3755 0.8755 0.0000
0.8755 0.6245 0.0000
0.6245 0.1245 0.0000
0.1245 0.3755 0.0000
0.0000 0.0000 0.0000
0.5000 0.5000 0.0000
0.1754 0.6754 0.5000
0.6754 0.8246 0.5000
0.8246 0.3246 0.5000
0.3246 0.1754 0.5000


Record 14
Ho5Ga2, optimized geometry, DFT GGA-PBE; volume = 385 Å³/cell; space-group type = C2/c (15); offset from the most stable computed form = 0.0 meV per atom; energy = -62.49 eV per cell; energy relative to the elements = -0.3288 eV/atom
1.0
6.1885 0.0000 0.0000
0.0000 8.0207 0.0991
-3.0943 -1.1224 7.7440
Ho Ga
10 4
Direct
0.2304 0.4237 0.1895
0.0408 0.0763 0.8105
0.1965 0.6811 0.5587
0.6378 0.8189 0.4413
0.8035 0.3189 0.4413
0.3622 0.1811 0.5587
0.9592 0.9237 0.1895
0.7696 0.5763 0.8105
0.6239 0.2500 0.0000
0.3761 0.7500 0.0000
0.2030 0.4183 0.7926
0.4104 0.0817 0.2074
0.7970 0.5817 0.2074
0.5896 0.9183 0.7926


Record 15
Ho4Ga, optimized geometry, DFT GGA-PBE; volume = 164 Å³/cell; space-group type = Pm-3m (221); offset from the most stable computed form = 236.6 meV per atom; energy = -20.65 eV per cell; energy relative to the elements = 0.1370 eV/atom
1.0
-4.3170 1.7895 2.8605
-3.2149 -3.5916 -2.6050
1.0243 -3.7309 3.8798
Ho Ga
4 1
Direct
0.0000 0.0000 0.0000
0.5000 0.0000 0.5000
0.0000 0.5000 0.5000
0.5000 0.5000 0.0000
0.5000 0.5000 0.5000


Record 16
HoGa3, optimized geometry, DFT GGA-PBE; volume = 462 Å³/cell; space-group type = P6_3/mmc (194); energy = -94.57 eV per cell; energy relative to the elements = -0.5259 eV/atom
1.0
6.1319 0.0000 0.0000
-3.0659 5.3104 0.0000
0.0000 0.0000 14.1909
Ho Ga
6 18
Direct
0.0000 0.0000 0.2500
0.0000 0.0000 0.7500
0.3333 0.6667 0.4082
0.6667 0.3333 0.5918
0.6667 0.3333 0.9082
0.3333 0.6667 0.0918
0.5210 0.4790 0.2500
0.5210 0.0419 0.2500
0.9581 0.4790 0.2500
0.4790 0.5210 0.7500
0.4790 0.9581 0.7500
0.0419 0.5210 0.7500
0.8335 0.1665 0.4192
0.8335 0.6670 0.4192
0.3330 0.1665 0.4192
0.1665 0.8335 0.5808
0.1665 0.3330 0.5808
0.6670 0.8335 0.5808
0.1665 0.8335 0.9192
0.1665 0.3330 0.9192
0.6670 0.8335 0.9192
0.8335 0.1665 0.0808
0.8335 0.6670 0.0808
0.3330 0.1665 0.0808


Record 17
Ho5Ga3, optimized geometry, DFT GGA-PBE; volume = 812 Å³/cell; space-group type = P4/ncc (130); offset from the most stable computed form = 0.0 meV per atom; energy = -143.86 eV per cell; energy relative to the elements = -0.4993 eV/atom
1.0
7.5787 0.0000 0.0000
0.0000 7.5787 0.0000
0.0000 0.0000 14.1300
Ho Ga
20 12
Direct
0.0000 0.5000 0.7700
0.0000 0.5000 0.2700
0.5000 0.0000 0.2300
0.5000 0.0000 0.7300
0.6813 0.6562 0.6028
0.6813 0.3438 0.1028
0.8187 0.8438 0.3972
0.1813 0.8438 0.8972
0.3187 0.3438 0.6028
0.3187 0.6562 0.1028
0.1813 0.1562 0.3972
0.8187 0.1562 0.8972
0.6562 0.3187 0.3972
0.3438 0.3187 0.8972
0.1562 0.8187 0.6028
0.8438 0.8187 0.1028
0.3438 0.6813 0.3972
0.6562 0.6813 0.8972
0.8438 0.1813 0.6028
0.1562 0.1813 0.1028
0.0000 0.5000 0.4932
0.0000 0.5000 0.9932
0.5000 0.0000 0.5068
0.5000 0.0000 0.0068
0.8769 0.8769 0.7500
0.8769 0.1231 0.2500
0.6231 0.6231 0.2500
0.3769 0.6231 0.7500
0.1231 0.1231 0.7500
0.1231 0.8769 0.2500
0.3769 0.3769 0.2500
0.6231 0.3769 0.7500


Record 18
HoGa4, optimized geometry, DFT GGA-PBE; volume = 167 Å³/cell; space-group type = Pm-3m (221); offset from the most stable computed form = 1057.5 meV per atom; energy = -13.43 eV per cell; energy relative to the elements = 0.6513 eV/atom
1.0
-1.4056 0.5690 5.2914
-3.1120 -4.5275 -0.3399
4.3172 -3.0784 1.4778
Ho Ga
1 4
Direct
0.5000 0.5000 0.5000
0.0000 0.0000 0.0000
0.5000 0.0000 0.5000
0.0000 0.5000 0.5000
0.5000 0.5000 0.0000


Record 19
Ho3Ga, optimized geometry, DFT GGA-PBE; volume = 104 Å³/cell; space-group type = Pm-3m (221); energy = -17.72 eV per cell; energy relative to the elements = -0.2408 eV/atom
1.0
-0.5581 -1.4738 -4.4286
-3.4131 -2.9134 1.3996
-3.1836 3.3818 -0.7242
Ho Ga
3 1
Direct
0.0000 0.5000 0.5000
0.5000 0.5000 0.0000
0.5000 0.0000 0.5000
0.0000 0.0000 0.0000


Record 20
Ho3Ga, optimized geometry, DFT GGA-PBE; volume = 439 Å³/cell; space-group type = I-4 (82); energy = -71.15 eV per cell; energy relative to the elements = -0.2568 eV/atom
1.0
6.0677 0.0000 0.0000
3.0338 8.5095 0.0000
3.0338 0.0000 8.5095
Ho Ga
12 4
Direct
0.3629 0.9640 0.8040
0.1309 0.0360 0.1960
0.8330 0.8040 0.0360
0.6731 0.1960 0.9640
0.5642 0.3260 0.5981
0.4883 0.6740 0.4019
0.8377 0.5981 0.6740
0.1099 0.4019 0.3260
0.9682 0.9506 0.6136
0.5325 0.0494 0.3864
0.4182 0.6136 0.0494
0.0812 0.3864 0.9506
0.0719 0.2470 0.6494
0.9683 0.7530 0.3506
0.2787 0.6494 0.7530
0.6811 0.3506 0.2470


Record 21
HoGa4, optimized geometry, DFT GGA-PBE; volume = 468 Å³/cell; space-group type = P4/mbm (127); offset from the most stable computed form = 390.5 meV per atom; energy = -67.06 eV per cell; energy relative to the elements = -0.0157 eV/atom
1.0
-0.3312 -5.0086 -1.2834
4.0017 1.8897 -8.4077
8.5960 -1.5288 3.7477
Ho Ga
4 16
Direct
0.0000 0.1349 0.6349
0.0000 0.6349 0.8651
0.0000 0.3651 0.1349
0.0000 0.8651 0.3651
0.5000 0.9009 0.5991
0.5000 0.5991 0.0991
0.5000 0.4009 0.9009
0.5000 0.0991 0.4009
0.5000 0.8927 0.2025
0.5000 0.2025 0.1073
0.5000 0.7975 0.8927
0.5000 0.1073 0.7975
0.5000 0.6073 0.7025
0.5000 0.3927 0.2975
0.5000 0.7025 0.3927
0.5000 0.2975 0.6073
0.2261 0.0000 0.0000
0.7739 0.5000 0.5000
0.7739 0.0000 0.0000
0.2261 0.5000 0.5000